This record from Alexandria via LeMat-Bulk describes an optimized crystal structure of TaMnPt6. The functional is GGA-PBE.

a b c (Å): 3.977 3.977 7.905
angles (deg): 90.00 90.00 90.00
Space group P4/mmm (No. 123)
Asymmetric unit:
Ta1 0.000 0.000 0.000 x1
Mn1 0.000 0.000 0.500 x1
Pt1 0.000 0.500 0.247 x4
Pt2 0.500 0.500 0.000 x1
Pt3 0.500 0.500 0.500 x1

Values from the calculation:
M_tot, μB/atom: 0.59
Final energy, eV per atom: -7.743
Crystal system: tetragonal
Calculated density, g cm⁻³: 18.7
Calculated volume, Å³ per cell: 125


This record from Alexandria via LeMat-Bulk describes an optimized crystal structure of PaMnBeRu. The functional is GGA-PBE.

a b c (Å): 6.241 6.241 6.241
angles (deg): 90.00 90.00 90.00
Space group F-43m (No. 216)
Asymmetric unit:
Pa1 0.000 0.000 0.000 x4
Mn1 0.250 0.250 0.250 x4
Be1 0.000 0.000 0.500 x4
Ru1 0.250 0.250 0.750 x4

Values from the calculation:
M_tot, μB/atom: 0.29
Final energy, eV per atom: -7.968
Crystal system: cubic
Calculated density, g cm⁻³: 10.8
Calculated volume, Å³ per cell: 243